# MnCoSb2 PBE-GGA relaxed
data_MnCoSb2
_chemical_formula_sum 'Mn1 Co1 Sb2'
_cell_length_a 4.802
_cell_length_b 4.802
_cell_length_c 4.802
_cell_angle_alpha 60.00
_cell_angle_beta 60.00
_cell_angle_gamma 60.00
_space_group_name_H-M_alt 'P 1'
_space_group_IT_number 1
loop_
_space_group_symop_operation_xyz
'x,y,z'
loop_
_atom_site_label
_atom_site_type_symbol
_atom_site_fract_x
_atom_site_fract_y
_atom_site_fract_z
_atom_site_occupancy
Mn1 Mn 0.000 0.000 0.000 1
Co1 Co 0.250 0.250 0.250 1
Sb1 Sb 0.500 0.500 0.500 1
Sb2 Sb 0.750 0.750 0.750 1
# space-group type	No. 216
# crystal system	cubic
# excess energy over the best structure of this formula in the dataset	534.4	meV/atom


# Tl2BPt PBE-GGA relaxed
data_Tl2BPt
_chemical_formula_sum 'Tl2 B1 Pt1'
_cell_length_a 4.818
_cell_length_b 4.818
_cell_length_c 4.818
_cell_angle_alpha 60.00
_cell_angle_beta 60.00
_cell_angle_gamma 60.00
_space_group_name_H-M_alt 'P 1'
_space_group_IT_number 1
loop_
_space_group_symop_operation_xyz
'x,y,z'
loop_
_atom_site_label
_atom_site_type_symbol
_atom_site_fract_x
_atom_site_fract_y
_atom_site_fract_z
_atom_site_occupancy
Tl1 Tl 0.250 0.250 0.250 1
Tl2 Tl 0.750 0.750 0.750 1
B1 B 0.000 0.000 0.000 1
Pt1 Pt 0.500 0.500 0.500 1
# space-group type	No. 225
# formation energy	0.9779	eV/atom
# crystal system	cubic
# excess energy over the best structure of this formula in the dataset	83.0	meV/atom


# Mg2Pd2Pb PBE-GGA relaxed
data_Mg2Pd2Pb
_chemical_formula_sum 'Mg2 Pd2 Pb1'
_cell_length_a 7.026
_cell_length_b 7.026
_cell_length_c 7.026
_cell_angle_alpha 146.53
_cell_angle_beta 146.53
_cell_angle_gamma 48.06
_space_group_name_H-M_alt 'P 1'
_space_group_IT_number 1
loop_
_space_group_symop_operation_xyz
'x,y,z'
loop_
_atom_site_label
_atom_site_type_symbol
_atom_site_fract_x
_atom_site_fract_y
_atom_site_fract_z
_atom_site_occupancy
Mg1 Mg 0.121 0.121 0.000 1
Mg2 Mg 0.879 0.879 0.000 1
Pd1 Pd 0.250 0.750 0.500 1
Pd2 Pd 0.750 0.250 0.500 1
Pb1 Pb 0.500 0.500 0.000 1
# space-group type	No. 139
# formation energy	-0.2352	eV/atom
# crystal system	tetragonal


# SrMoRh2 PBE-GGA relaxed
data_SrMoRh2
_chemical_formula_sum 'Sr1 Mo1 Rh2'
_cell_length_a 2.872
_cell_length_b 4.087
_cell_length_c 6.798
_cell_angle_alpha 90.00
_cell_angle_beta 90.00
_cell_angle_gamma 90.00
_space_group_name_H-M_alt 'P 1'
_space_group_IT_number 1
loop_
_space_group_symop_operation_xyz
'x,y,z'
loop_
_atom_site_label
_atom_site_type_symbol
_atom_site_fract_x
_atom_site_fract_y
_atom_site_fract_z
_atom_site_occupancy
Sr1 Sr 0.000 0.000 0.000 1
Mo1 Mo 0.500 0.500 0.372 1
Rh1 Rh 0.000 0.000 0.503 1
Rh2 Rh 0.500 0.500 0.726 1
# space-group type	No. 25
# formation energy	0.3190	eV/atom
# crystal system	orthorhombic
# excess energy over the best structure of this formula in the dataset	298.5	meV/atom


| no. | theoretical density (g cm⁻³) | electronic total energy (eV for the cell shown) | total magnetic moment (μB/f.u.) |
| --- | --- | --- | --- |
| 1 | 7.577 | -22.16 | 5.2 |
| 2 | 12.909 | -13.54 | 0.0 |
| 3 | 7.406 | -18.46 | 0.0 |
| 4 | 8.104 | -25.94 | 0.0 |